# 1
# GGA-PBE DyTaBiO6, relaxed
# D(E_F)   6.11 states/eV per cell
# Uncorrected formation energy   -55.91 kcal/mol of atoms
# Uncorrected energy   -7.990 eV/atom
data_DyTaBiO6
_chemical_formula_sum 'Dy2 Ta2 Bi2 O12'
_cell_length_a 5.0368
_cell_length_b 5.0368
_cell_length_c 10.1548
_cell_angle_alpha 90.00
_cell_angle_beta 90.00
_cell_angle_gamma 90.00
_space_group_name_H-M_alt 'P 42 n m'
_space_group_IT_number 102
_space_group_name_Hall 'P 4n -2n'
loop_
_atom_site_label
_atom_site_fract_x
_atom_site_fract_y
_atom_site_fract_z
Dy1 0.0000 0.0000 0.0000
Ta1 0.0000 0.0000 0.6649
Bi1 0.0000 0.0000 0.3303
O1 0.1840 0.1840 0.8175
O2 0.1855 0.1855 0.5178
O3 0.2159 0.2159 0.1668

***

# 2
# GGA-PBE TbDyBi2O6, relaxed
# D(E_F)   0.00 states/eV per cell
# Uncorrected formation energy   -54.64 kcal/mol of atoms
# Uncorrected energy   -7.044 eV/atom
data_TbDyBi2O6
_chemical_formula_sum 'Tb3 Dy3 Bi6 O18'
_cell_length_a 6.0385
_cell_length_b 6.0385
_cell_length_c 15.2780
_cell_angle_alpha 90.00
_cell_angle_beta 90.00
_cell_angle_gamma 120.00
_space_group_name_H-M_alt 'R 3'
_space_group_IT_number 146
_space_group_name_Hall 'R 3'
loop_
_atom_site_label
_atom_site_fract_x
_atom_site_fract_y
_atom_site_fract_z
Tb1 0.0000 0.0000 0.0000
Dy1 0.0000 0.0000 0.4994
Bi1 0.0000 0.0000 0.2860
Bi2 0.0000 0.0000 0.7862
O1 0.0722 0.3721 0.5572
O2 0.0725 0.6983 0.0574

***

# 3
# GGA-PBE DyTcBiO6, relaxed
# D(E_F)   3.36 states/eV per cell
# Uncorrected formation energy   -42.84 kcal/mol of atoms
# Uncorrected energy   -7.258 eV/atom
data_DyTcBiO6
_chemical_formula_sum 'Dy1 Tc1 Bi1 O6'
_cell_length_a 5.5269
_cell_length_b 5.5269
_cell_length_c 4.8688
_cell_angle_alpha 90.00
_cell_angle_beta 90.00
_cell_angle_gamma 120.00
_space_group_name_H-M_alt 'P 3 1 2'
_space_group_IT_number 149
_space_group_name_Hall 'P 3 2'
loop_
_atom_site_label
_atom_site_fract_x
_atom_site_fract_y
_atom_site_fract_z
Dy1 0.0000 0.0000 0.0000
Tc1 0.3333 0.6667 0.0000
Bi1 0.6667 0.3333 0.5000
O1 0.0442 0.3734 0.2256